[1]
Computed, not measured: a PBEsol-optimized structure of AgTe2Br at the meta-GGA SCAN level of DFT.

Computed properties:
Uncorrected energy = -1.157 hartree per atom
E_form (uncorrected) = -0.14 eV per atom
D(E_F) = 0.73 states/eV/f.u.
Total moment = 0.0 μB/f.u.

Unit cell a=4.1661 b=4.6844 c=6.1547 alpha=112.53 beta=90.00 gamma=90.00
Last column: nearest neighbours and their distance in Å.
Atoms (fractional coordinates):
Te (0.0000, 0.2134, 0.3214)  2 Ag 2.72, 1 Te 2.74
Te (0.0000, 0.7866, 0.6786)  2 Ag 2.72, 1 Te 2.74
Ag (0.5000, 0.0000, 0.5000)  4 Te 2.72
Br (0.5000, 0.5000, 0.0000)  2 Ag 3.07

[2]
Computed, not measured: a PBEsol-optimized structure of CaMgCo2 at the meta-GGA SCAN level of DFT.

Computed properties:
Uncorrected energy = -0.443 hartree per atom
D(E_F) = 2.01 states/eV/f.u.
ΔE_f = 0.25 eV/atom
Total moment = 3.0 μB/f.u.

Unit cell a=3.1160 b=4.6247 c=5.5079 alpha=115.35 beta=106.43 gamma=90.00
Last column: nearest neighbours and their distance in Å.
Atoms (fractional coordinates):
Ca (0.7354, 0.2363, 0.4708)  8 Co 2.82-3.13, 4 Mg 3.04-3.16, 2 Ca 3.12
Co (0.9550, 0.9541, 0.9100)  2 Co 2.25
Co (0.2832, 0.7852, 0.5664)  2 Co 2.25
Mg (0.5264, 0.5244, 0.0528)  6 Co 2.86-2.89, 4 Ca 3.04-3.16, 2 Mg 3.12

[3]
Computed, not measured: a PBEsol-optimized structure of Sr2ZrTe at the meta-GGA SCAN level of DFT.

Computed properties:
Uncorrected energy = -1.045 hartree per atom
E_form (uncorrected) = -0.30 eV per atom
D(E_F) = 3.85 states/eV/f.u.
Total moment = 0.0 μB/f.u.

Unit cell a=3.7849 b=5.8333 c=6.5815 alpha=110.23 beta=106.71 gamma=90.00
Last column: nearest neighbours and their distance in Å.
Atoms (fractional coordinates):
Sr (0.9842, 0.9570, 0.9685)  3 Zr 3.42-3.80, 4 Te 3.48-3.55, 4 Sr 3.68-3.82
Sr (0.7837, 0.3156, 0.5674)  3 Te 3.45-3.69, 4 Zr 3.55-3.65, 4 Sr 3.68-3.82
Te (0.5284, 0.4851, 0.0569)  2 Zr 2.88
Zr (0.2036, 0.7423, 0.4072)  2 Te 2.88